P) # CoTe2I

Crystalline CoTe2I at its relaxed geometry (GGA-PBE, the Alexandria database).

Calculated values
- space group = No. 123
- Fermi-level density of states (states/eV/cell) = 6.5
- magnetization (μB per atom) = 0.504

abc: 5.5434 5.5434 3.3629
angles: 90.00 90.00 90.00
With the nearest neighbours (Å) after each atom.
Sites, in units of the cell vectors:
Co1 0.0000 0.0000 0.0000  8 Te 3.24, 2 Co 3.36
Te1 0.0000 0.5000 0.5000  4 Co 3.24, 4 I 3.24, 2 Te 3.36
Te2 0.5000 0.0000 0.5000  4 Co 3.24, 4 I 3.24, 2 Te 3.36
I1 0.5000 0.5000 0.0000  8 Te 3.24, 2 I 3.36

=====

Q) # CoTe2I

Crystalline CoTe2I at its relaxed geometry (GGA-PBE, the Alexandria database).

Calculated values
- space group = No. 15
- Fermi-level density of states (states/eV/cell) = 0.0
- magnetization (μB per atom) = 0.000

abc: 4.7657 15.9353 7.1405
angles: 90.00 107.21 90.00
With the nearest neighbours (Å) after each atom.
Sites, in units of the cell vectors:
Co1 0.0000 0.2055 0.2500  4 Te 2.52-2.56
Co2 0.0000 0.7945 0.7500  4 Te 2.52-2.56
Co3 0.5000 0.2945 0.7500  4 Te 2.52-2.56
Co4 0.5000 0.7055 0.2500  4 Te 2.52-2.56
Te1 0.1776 0.1700 0.6160  2 Co 2.52-2.56
Te2 0.1776 0.8300 0.1160  2 Co 2.52-2.56
Te3 0.3224 0.3300 0.3840  2 Co 2.52-2.56
Te4 0.3224 0.6700 0.8840  2 Co 2.52-2.56
Te5 0.6776 0.3300 0.1160  2 Co 2.52-2.56
Te6 0.6776 0.6700 0.6160  2 Co 2.52-2.56
Te7 0.8224 0.1700 0.8840  2 Co 2.52-2.56
Te8 0.8224 0.8300 0.3840  2 Co 2.52-2.56
I1 0.0000 0.3947 0.7500  2 Co 2.87
I2 0.0000 0.6053 0.2500  2 Co 2.87
I3 0.5000 0.1053 0.2500  2 Co 2.87
I4 0.5000 0.8947 0.7500  2 Co 2.87

=====

Most stable one: Q), least stable one: P).